(1)
Below is a geometry-optimized Ba5Ca7 structure, with properties calculated at the PBE-GGA level.

Cell and atoms, written as CIF:
```
data_Ba5Ca7
_chemical_formula_sum 'Ba5 Ca7'
_cell_length_a 4.182
_cell_length_b 11.450
_cell_length_c 12.585
_cell_angle_alpha 90.00
_cell_angle_beta 90.00
_cell_angle_gamma 90.00
_space_group_name_H-M_alt 'P 1'
_space_group_IT_number 1
loop_
_space_group_symop_operation_xyz
'x,y,z'
loop_
_atom_site_label
_atom_site_fract_x
_atom_site_fract_y
_atom_site_fract_z
_atom_site_occupancy
Ca1 0.500 0.732 0.000 1
Ca2 0.500 0.273 0.000 1
Ca3 0.000 0.511 0.161 1
Ca4 0.000 0.974 0.500 1
Ca5 0.500 0.748 0.673 1
Ca6 0.000 0.511 0.839 1
Ca7 0.500 0.748 0.327 1
Ba1 0.000 0.991 0.838 1
Ba2 0.000 0.991 0.162 1
Ba3 0.500 0.250 0.330 1
Ba4 0.500 0.250 0.670 1
Ba5 0.000 0.519 0.500 1
```



(2)
# Ba3SiN3 PBE-GGA relaxed
# **E_form (uncorrected)**: -0.762 eV/atom
data_Ba3SiN3
_chemical_formula_sum 'Ba12 Si4 N12'
_cell_length_a 6.825
_cell_length_b 12.092
_cell_length_c 9.473
_cell_angle_alpha 90.00
_cell_angle_beta 90.00
_cell_angle_gamma 106.39
_space_group_name_H-M_alt 'P 1'
_space_group_IT_number 1
loop_
_space_group_symop_operation_xyz
'x,y,z'
loop_
_atom_site_label
_atom_site_fract_x
_atom_site_fract_y
_atom_site_fract_z
_atom_site_occupancy
Ba1 0.113 0.698 0.353 1
Ba2 0.414 0.302 0.353 1
Ba3 0.914 0.302 0.147 1
Ba4 0.086 0.000 0.673 1
Ba5 0.086 0.698 0.853 1
Ba6 0.613 0.698 0.147 1
Ba7 0.914 0.000 0.327 1
Ba8 0.887 0.302 0.647 1
Ba9 0.387 0.302 0.853 1
Ba10 0.586 0.698 0.647 1
Ba11 0.414 0.000 0.173 1
Ba12 0.586 0.000 0.827 1
N1 0.176 0.000 0.942 1
N2 0.806 0.809 0.862 1
N3 0.497 0.191 0.638 1
N4 0.997 0.191 0.862 1
N5 0.306 0.809 0.638 1
N6 0.694 0.191 0.362 1
N7 0.194 0.191 0.138 1
N8 0.676 0.000 0.558 1
N9 0.003 0.809 0.138 1
N10 0.503 0.809 0.362 1
N11 0.824 0.000 0.058 1
N12 0.324 0.000 0.442 1
Si1 0.553 0.106 0.500 1
Si2 0.053 0.106 0.000 1
Si3 0.447 0.894 0.500 1
Si4 0.947 0.894 0.000 1



| no. | electronic total energy (eV per atom) |
| --- | --- |
| 1 | -1.925 |
| 2 | -5.929 |